Entry 1:
A relaxed LiNi2Sb2 crystal, computed with PBE-GGA.

Structure (CIF):
```
data_LiNi2Sb2
_chemical_formula_sum 'Li2 Ni4 Sb4'
_symmetry_space_group_name_H-M 'I 4/m m m'
_symmetry_Int_Tables_number 139
_symmetry_space_group_name_Hall '-I 4 2'
_cell_length_a 4.180
_cell_length_b 4.180
_cell_length_c 11.278
_cell_angle_alpha 90.00
_cell_angle_beta 90.00
_cell_angle_gamma 90.00
loop_
_atom_site_label
_atom_site_fract_x
_atom_site_fract_y
_atom_site_fract_z
Li1 0.000 0.000 0.000
Ni1 0.000 0.500 0.250
Sb1 0.000 0.000 0.372
```

- Formation energy (no corrections): -0.18 eV per atom
- Relative energy among the computed polymorphs: 0.00 kcal/mol of atoms

---

Entry 2:
A relaxed ZnReSe2 crystal, computed with PBE-GGA.

Structure (CIF):
```
data_ZnReSe2
_chemical_formula_sum 'Zn3 Re3 Se6'
_symmetry_space_group_name_H-M 'R 3 m'
_symmetry_Int_Tables_number 160
_symmetry_space_group_name_Hall 'R 3 -2"'
_cell_length_a 3.0458
_cell_length_b 3.0458
_cell_length_c 29.2140
_cell_angle_alpha 90.00
_cell_angle_beta 90.00
_cell_angle_gamma 120.00
loop_
_atom_site_label
_atom_site_fract_x
_atom_site_fract_y
_atom_site_fract_z
Zn1 0.0000 0.0000 0.0000
Re1 0.0000 0.0000 0.2604
Se1 0.0000 0.0000 0.5351
Se2 0.0000 0.0000 0.7433
```

- Formation energy (no corrections): 0.11 eV per atom
- Relative energy among the computed polymorphs: 0.69 kcal/mol of atoms

---

Entry 3:
A relaxed Be2TlZn crystal, computed with PBE-GGA.

Structure (CIF):
```
data_Be2TlZn
_chemical_formula_sum 'Be4 Tl2 Zn2'
_symmetry_space_group_name_H-M 'C 1 2/m 1'
_symmetry_Int_Tables_number 12
_cell_length_a 5.267
_cell_length_b 8.411
_cell_length_c 3.310
_cell_angle_alpha 90.00
_cell_angle_beta 114.25
_cell_angle_gamma 90.00
loop_
_symmetry_equiv_pos_as_xyz
'x,y,z'
'-x,-y,-z'
'-x,y,-z'
'x,-y,z'
'x+1/2,y+1/2,z'
'-x+1/2,-y+1/2,-z'
'-x+1/2,y+1/2,-z'
'x+1/2,-y+1/2,z'
loop_
_atom_site_label
_atom_site_fract_x
_atom_site_fract_y
_atom_site_fract_z
Be1 0.250 0.250 0.000
Tl1 0.000 0.000 0.000
Zn1 0.000 0.500 0.000
```

- Energy of formation: 0.6528 eV/atom
- Relative energy among the computed polymorphs: 8.32 kcal/mol of atoms

---

Entry 4:
A relaxed RbMnBr5 crystal, computed with PBE-GGA.

Structure (CIF):
```
data_RbMnBr5
_chemical_formula_sum 'Rb2 Mn2 Br10'
_symmetry_space_group_name_H-M 'I m m 2'
_symmetry_Int_Tables_number 44
_cell_length_a 8.222
_cell_length_b 9.650
_cell_length_c 7.063
_cell_angle_alpha 90.00
_cell_angle_beta 90.00
_cell_angle_gamma 90.00
loop_
_symmetry_equiv_pos_as_xyz
'x,y,z'
'-x,-y,z'
'-x,y,z'
'x,-y,z'
'x+1/2,y+1/2,z+1/2'
'-x+1/2,-y+1/2,z+1/2'
'-x+1/2,y+1/2,z+1/2'
'x+1/2,-y+1/2,z+1/2'
loop_
_atom_site_label
_atom_site_fract_x
_atom_site_fract_y
_atom_site_fract_z
Rb1 0.000 0.000 0.000
Mn1 0.000 0.500 0.949
Br1 0.000 0.312 0.733
Br2 0.000 0.500 0.284
Br3 0.205 0.000 0.459
```

- Formation energy (no corrections): -0.82 eV per atom

---

Entry 5:
A relaxed Zn2MoOs crystal, computed with PBE-GGA.

Structure (CIF):
```
data_Zn2MoOs
_chemical_formula_sum 'Zn2 Mo1 Os1'
_symmetry_space_group_name_H-M 'P 4/m m m'
_symmetry_Int_Tables_number 123
_symmetry_space_group_name_Hall '-P 4 2'
_cell_length_a 3.755
_cell_length_b 3.755
_cell_length_c 4.177
_cell_angle_alpha 90.00
_cell_angle_beta 90.00
_cell_angle_gamma 90.00
loop_
_atom_site_label
_atom_site_fract_x
_atom_site_fract_y
_atom_site_fract_z
Zn1 0.000 0.500 0.000
Mo1 0.000 0.000 0.500
Os1 0.500 0.500 0.500
```

- Energy of formation: 0.2654 eV/atom
- Relative energy among the computed polymorphs: 5.04 kcal/mol of atoms

---

Entry 6:
A relaxed TbGaN2 crystal, computed with PBE-GGA.

Structure (CIF):
```
data_TbGaN2
_chemical_formula_sum 'Tb3 Ga3 N6'
_symmetry_space_group_name_H-M 'R -3 m'
_symmetry_Int_Tables_number 166
_symmetry_space_group_name_Hall '-R 3 2"'
_cell_length_a 3.6866
_cell_length_b 3.6866
_cell_length_c 17.4619
_cell_angle_alpha 90.00
_cell_angle_beta 90.00
_cell_angle_gamma 120.00
loop_
_atom_site_label
_atom_site_fract_x
_atom_site_fract_y
_atom_site_fract_z
Tb1 0.0000 0.0000 0.0000
Ga1 0.0000 0.0000 0.5000
N1 0.0000 0.0000 0.3995
```

- Formation energy (no corrections): -0.74 eV per atom

---

Number 1: uncorrected energy -4.52 eV per atom. Number 2: uncorrected energy -5.07 eV per atom. Number 3: uncorrected energy -2.12 eV per atom. Number 4: uncorrected energy -3.47 eV per atom. Number 5: uncorrected energy -5.89 eV per atom. Number 6: uncorrected energy -6.81 eV per atom.